## Cu2ReIr (PBE)

Data for Cu2ReIr after structural relaxation.

Cell lengths 4.209, 4.209, 4.209 Å; angles 60.00, 60.00, 60.00 degrees
Fractional positions:
Cu 0.250 0.250 0.250
Cu 0.750 0.750 0.750
Re 0.000 0.000 0.000
Ir 0.500 0.500 0.500

Values from the calculation:
density of states at the Fermi level	0.655	states/eV per atom
space group	Fm-3m
electronic total energy	-27.92	eV/cell

## Cu2ReIr (PBE)

Data for Cu2ReIr after structural relaxation.

Cell lengths 4.722, 4.722, 4.722 Å; angles 133.58, 133.58, 67.75 degrees
Fractional positions:
Cu 0.250 0.750 0.500
Cu 0.750 0.250 0.500
Re 0.000 0.000 0.000
Ir 0.500 0.500 0.000

Values from the calculation:
density of states at the Fermi level	1.261	states/eV per atom
space group	I4/mmm
electronic total energy	-28.00	eV/cell

## Cu2ReIr (PBE)

Data for Cu2ReIr after structural relaxation.

Cell lengths 2.717, 3.816, 5.275 Å; angles 90.00, 90.00, 90.00 degrees
Fractional positions:
Cu 0.000 0.000 0.000
Cu 0.500 0.500 0.213
Re 0.000 0.000 0.497
Ir 0.500 0.500 0.713

Values from the calculation:
density of states at the Fermi level	0.611	states/eV per atom
space group	Pmm2
electronic total energy	-29.18	eV/cell